Here is a relaxed AcPdRh2 crystal from Alexandria via LeMat-Bulk. Energies are from PBE.

Summary:
Space-group type: P4/mmm (123)
Energy above the most stable polymorph in this dataset (meV/atom): 83.0

a b c (Å): 4.2813 4.2813 4.1881
angles (deg): 90.00 90.00 90.00
Last column: nearest neighbours and their distance in Å.
Positions (direct):
Ac (0.0000, 0.0000, 0.0000)  8 Rh 2.99, 4 Pd 3.03
Pd (0.5000, 0.5000, 0.0000)  8 Rh 2.99, 4 Ac 3.03
Rh (0.0000, 0.5000, 0.5000)  4 Ac 2.99, 4 Pd 2.99, 4 Rh 3.03
Rh (0.5000, 0.0000, 0.5000)  4 Ac 2.99, 4 Pd 2.99, 4 Rh 3.03